Record 1
Computed, not measured: a relaxed structure of MoPtBr2 at the PBE level of DFT. Values from VASP.

Cell and atoms, written as Quantum ESPRESSO input:
```
&SYSTEM
  ibrav = 0, nat = 4, ntyp = 3
/
ATOMIC_SPECIES
Mo 95.94 Mo.upf
Pt 195.08 Pt.upf
Br 79.90 Br.upf
ATOMIC_POSITIONS angstrom
Mo 0.000 0.000 0.000
Pt 0.000 0.000 18.149
Br 0.000 0.000 6.705
Br 0.000 0.000 11.460
CELL_PARAMETERS angstrom
1.885 1.088 8.422
-1.885 1.088 8.422
0.000 -2.177 8.422
```

SG: R3m, No. 160


Record 2
Computed, not measured: a relaxed structure of MoPtBr3 at the PBE level of DFT. Values from VASP.

Cell and atoms, written as Quantum ESPRESSO input:
```
&SYSTEM
  ibrav = 0, nat = 5, ntyp = 3
/
ATOMIC_SPECIES
Mo 95.94 Mo.upf
Pt 195.08 Pt.upf
Br 79.90 Br.upf
ATOMIC_POSITIONS angstrom
Mo 0.000 0.000 0.000
Pt 2.583 2.583 2.583
Br 0.000 2.583 2.583
Br 2.583 0.000 2.583
Br 2.583 2.583 0.000
CELL_PARAMETERS angstrom
5.166 0.000 0.000
0.000 5.166 0.000
0.000 0.000 5.166
```

SG: Pm-3m, No. 221


Record 3
Computed, not measured: a relaxed structure of MoPtBr2 at the PBE level of DFT. Values from VASP.

Cell and atoms, written as Quantum ESPRESSO input:
```
&SYSTEM
  ibrav = 0, nat = 4, ntyp = 3
/
ATOMIC_SPECIES
Mo 95.94 Mo.upf
Pt 195.08 Pt.upf
Br 79.90 Br.upf
ATOMIC_POSITIONS angstrom
Mo 0.000 0.000 0.000
Pt 0.000 0.000 13.276
Br 0.000 0.000 10.722
Br 0.000 0.000 15.829
CELL_PARAMETERS angstrom
1.601 0.924 8.850
-1.601 0.924 8.850
0.000 -1.849 8.850
```

SG: R-3m, No. 166


| no. | energy above the most stable polymorph in this dataset (eV/f.u.) | formation energy (no corrections) (eV/atom) | magnetic moment (μB per formula unit) |
| --- | --- | --- | --- |
| 1 | 0.01 | 0.010 | 2.00 |
| 2 | 0.00 | 0.707 | 4.75 |
| 3 | 1.76 | 0.447 | 0.00 |